A plane-wave DFT calculation with PBE with a Hubbard U was carried out for MnBeZn2F after structural relaxation.

Computed properties:
The crystal system is tetragonal. The calculation puts the total magnetic moment at 4.14 μB per formula unit. The calculation puts the total energy at -3.2986 eV per atom.

Geometry as POSCAR:
```
MnBeZn2F
1.0
-0.408 2.643 4.420
-0.251 -2.543 1.497
5.131 -0.169 0.575
Be Zn Mn F
1 2 1 1
direct
0.000 0.500 0.000
0.000 0.000 0.500
0.500 0.000 0.000
0.500 0.500 0.500
0.000 0.000 0.000
```